# MgClF

A relaxed structure of MgClF (GGA-PBE, Alexandria).

symmetry	Pmmn, No. 59
crystal system	orthorhombic
ρ	2.233	g/cm3
excess energy over the best structure of this formula in the dataset	0	meV/atom
formation energy (no corrections)	-2615	meV per atom

Structure (extended XYZ):
```
6
Lattice="3.5661 0.0000 0.0000 0.0000 3.7611 0.0000 0.0000 0.0000 8.7316" Properties=species:S:1:pos:R:3 pbc="T T T"
Mg 0.8915 0.9403 1.1524
Mg 2.6746 2.8208 7.5792
Cl 0.8915 2.8208 6.0448
Cl 2.6746 0.9403 2.6868
F 0.8915 2.8208 0.3790
F 2.6746 0.9403 8.3525
```